The following is a PBE calculation of crystalline TbEr3Ir3 at its relaxed geometry, from Alexandria via LeMat-Bulk.

Values from the calculation:
D(E_F) in states/eV/f.u.: 6.444
Magnetization in μB per atom: 0.00
Calculated formation energy in eV/atom: -0.7632

Cell: 9.6372 9.6372 5.8556 Å, 90.00 90.00 120.00°
Space group R-3m (No. 166, hexagonal axes)
One atom of each set of equivalent atoms:
Tb 0.0000 0.0000 0.0000
Er 0.0000 0.5000 0.0000
Ir 0.0000 0.5000 0.5000